No. 1
CuMo2P | Alexandria via LeMat-Bulk | meta-GGA SCAN | PBEsol geometry; DOS(E_F) = 0.39 states/eV/atom; formation energy = 46 meV/atom; E_tot = -95.19 eV for the cell shown; spin magnetization = 0.000 μB/cell; calculated density = 8.79 g/cm³
1.0
3.210 0.000 0.000
0.000 3.210 0.000
0.000 0.000 5.249
Cu Mo P
1 2 1
direct
0.000 0.000 0.000
0.000 0.000 0.510
0.500 0.500 0.232
0.500 0.500 0.753

***

No. 2
CuMoP2 | Alexandria via LeMat-Bulk | meta-GGA SCAN | PBEsol geometry; DOS(E_F) = 0.76 states/eV/atom; formation energy = 607 meV/atom; E_tot = -68.45 eV for the cell shown; spin magnetization = 0.004 μB/cell; calculated density = 6.92 g/cm³
1.0
0.000 2.984 2.984
2.984 0.000 2.984
2.984 2.984 0.000
Cu Mo P
1 1 2
direct
0.000 0.000 0.000
0.250 0.250 0.250
0.500 0.500 0.500
0.750 0.750 0.750

***

No. 3
CuMo2P | Alexandria via LeMat-Bulk | meta-GGA SCAN | PBEsol geometry; DOS(E_F) = 0.44 states/eV/atom; formation energy = 267 meV/atom; E_tot = -94.30 eV for the cell shown; spin magnetization = 0.000 μB/cell; calculated density = 8.42 g/cm³
1.0
1.409 0.814 8.212
-1.409 0.814 8.212
0.000 -1.627 8.212
Cu Mo P
1 2 1
direct
0.000 0.000 0.000
0.515 0.515 0.515
0.756 0.756 0.756
0.255 0.255 0.255

***

No. 4
ScCuMo2P | Alexandria via LeMat-Bulk | meta-GGA SCAN | PBEsol geometry; DOS(E_F) = 0.96 states/eV/atom; formation energy = 2007 meV/atom; E_tot = -99.57 eV for the cell shown; spin magnetization = 0.002 μB/cell; calculated density = 5.80 g/cm³
1.0
4.522 0.000 0.000
0.000 4.522 0.000
0.000 0.000 4.640
Sc Cu Mo P
1 1 2 1
direct
0.000 0.000 0.000
0.500 0.500 0.500
0.000 0.500 0.000
0.500 0.000 0.000
0.000 0.000 0.500

***

Question: The lowest formation energy belongs to which entry?
Answer: number 1